# 1
# La2Sm3Tl2 | Alexandria | GGA-PBE | relaxed
data_La2Sm3Tl2
_chemical_formula_sum 'La6 Sm9 Tl6'
_space_group_name_H-M_alt 'R -3 m'
_space_group_IT_number 166
_space_group_name_Hall '-R 3 2"'
_cell_length_a 5.6014
_cell_length_b 5.6014
_cell_length_c 25.0091
_cell_angle_alpha 90.00
_cell_angle_beta 90.00
_cell_angle_gamma 120.00
loop_
_atom_site_label
_atom_site_fract_x
_atom_site_fract_y
_atom_site_fract_z
La1 0.0000 0.0000 0.0783
Sm1 0.0000 0.0000 0.3468
Sm2 0.0000 0.0000 0.5000
Tl1 0.0000 0.0000 0.2180
# - formation energy (eV per formula unit) = -1.5

# 2
# ScSi2Pb | Alexandria | GGA-PBE | relaxed
data_ScSi2Pb
_chemical_formula_sum 'Sc1 Si2 Pb1'
_space_group_name_H-M_alt 'P 4 m m'
_space_group_IT_number 99
_space_group_name_Hall 'P 4 -2'
_cell_length_a 3.5403
_cell_length_b 3.5403
_cell_length_c 6.4227
_cell_angle_alpha 90.00
_cell_angle_beta 90.00
_cell_angle_gamma 90.00
loop_
_atom_site_label
_atom_site_fract_x
_atom_site_fract_y
_atom_site_fract_z
Sc1 0.0000 0.0000 0.0000
Si1 0.0000 0.0000 0.4034
Si2 0.5000 0.5000 0.2364
Pb1 0.5000 0.5000 0.6859
# - E_form (uncorrected) (eV per formula unit) = 0.2

no.,total energy (eV/atom)
1,-4.321
2,-5.173